A plane-wave DFT calculation with PBE-GGA was carried out for a relaxed structure of Y4GeSe2.

Structure (extended XYZ):
```
14
Lattice="-3.1949 2.4768 -0.3942 -2.3420 -5.9547 2.4932 1.9540 4.5374 12.6725" Properties=species:S:1:pos:R:3 pbc="T T T"
Ge -0.9793 3.6269 9.8012
Ge -2.6036 -2.5675 4.9703
Se -0.2382 0.6753 6.1748
Se -2.6137 2.0813 13.3369
Se -3.3446 0.3841 8.5967
Se -0.9692 -1.0218 1.4347
Y -3.0684 0.2974 5.8127
Y -3.5493 -0.8194 2.6938
Y -1.5975 1.2384 -0.1971
Y -0.0336 1.8788 12.0777
Y -0.6204 3.5071 6.1392
Y -3.6825 0.3907 11.3767
Y -0.5145 0.7620 8.9588
Y 0.0996 0.6687 3.3948
```

Computed properties:
As for the total magnetization: 0.000 μB per atom. Its formation energy without anion corrections is -1.295 eV/atom. The space group is Cmcm.



A plane-wave DFT calculation with PBE-GGA was carried out for a relaxed structure of Pt2SeBr.

Structure (extended XYZ):
```
8
Lattice="-2.7516 -5.2097 2.5767 5.8080 -2.5717 1.0027 1.6831 -1.9331 5.9131" Properties=species:S:1:pos:R:3 pbc="T T T"
Pt 2.6381 -4.4696 5.8168
Pt 3.7070 -8.1569 7.5272
Pt -0.4642 -3.8548 3.1122
Pt 3.5980 -2.9478 2.5290
Se 1.5282 -3.8907 1.7897
Se 4.5097 -4.1978 4.3528
Br 0.2298 -5.5168 5.1398
Br 0.0000 0.0000 0.0000
```

Computed properties:
As for the total magnetization: 0.000 μB per atom. Its formation energy without anion corrections is 0.222 eV/atom. The space group is I-42d.



A plane-wave DFT calculation with PBE-GGA was carried out for a relaxed structure of Rb3Pa3NbN8.

Structure (extended XYZ):
```
15
Lattice="-3.7291 -0.7213 5.8685 6.9878 0.0363 0.2820 -3.4864 6.9647 -1.3594" Properties=species:S:1:pos:R:3 pbc="T T T"
N -1.9085 4.0530 3.4492
N -0.1006 1.8938 4.3327
N 1.6807 2.2266 1.3419
N -0.1272 4.3858 0.4584
N -3.7633 1.8732 4.1820
N 3.5355 4.4064 0.6090
N 1.5827 4.0288 3.6813
N -1.8106 2.2508 1.1098
Pa 1.7507 3.5005 -0.5387
Pa -0.1139 3.1398 2.3955
Pa -3.6078 3.1217 2.2545
Rb 1.6293 -0.3425 3.0753
Rb 3.4939 0.0181 0.1410
Rb 0.0000 0.0000 0.0000
Nb -1.7432 3.4823 -0.6797
```

Computed properties:
As for the total magnetization: 0.000 μB per atom. Its formation energy without anion corrections is -0.984 eV/atom. The space group is R-3m.



A plane-wave DFT calculation with PBE-GGA was carried out for a relaxed structure of Cs2Sn2Se3.

Structure (extended XYZ):
```
7
Lattice="4.4678 -0.0060 0.0088 -2.2292 7.3972 -0.1060 0.0110 -1.2251 8.0803" Properties=species:S:1:pos:R:3 pbc="T T T"
Se 0.0190 2.7936 6.4116
Se 2.2307 3.3725 1.5715
Se 0.0000 0.0000 0.0000
Cs -0.0095 1.2510 3.1680
Cs 2.2592 4.9151 4.8151
Sn 2.2410 0.7859 7.3359
Sn 0.0088 5.3802 0.6472
```

Computed properties:
As for the total magnetization: 0.000 μB per atom. Its formation energy without anion corrections is -0.706 eV/atom. The space group is P-1.



A plane-wave DFT calculation with PBE-GGA was carried out for a relaxed structure of ZrCu.

Structure (extended XYZ):
```
4
Lattice="4.4865 0.0000 0.0000 -2.2433 5.1138 0.0038 0.0000 1.0166 3.0638" Properties=species:S:1:pos:R:3 pbc="T T T"
Zr 0.0000 5.5260 1.5676
Zr 2.2433 3.4153 2.2679
Cu 0.0000 1.2641 2.9817
Cu 0.0000 2.5635 0.8500
```

Computed properties:
As for the total magnetization: 0.000 μB per atom. The space group is Imma. As for the formation energy: -60 meV/atom.



A plane-wave DFT calculation with PBE-GGA was carried out for a relaxed structure of CoRuSe2.

Structure (extended XYZ):
```
4
Lattice="4.4666 0.0000 0.0000 2.2333 3.8682 0.0000 2.2333 1.2894 3.6469" Properties=species:S:1:pos:R:3 pbc="T T T"
Ru 2.2333 1.2894 0.9117
Co 4.4666 2.5788 1.8235
Se 6.6999 3.8682 2.7352
Se 0.0000 0.0000 0.0000
```

Computed properties:
As for the total magnetization: 0.578 μB per atom. Its formation energy without anion corrections is 0.769 eV/atom. The space group is F-43m.



A plane-wave DFT calculation with PBE-GGA was carried out for a relaxed structure of Sr2Li2Au3.

Structure (extended XYZ):
```
14
Lattice="-2.2719 1.2828 -3.5049 6.4824 -0.4256 -4.3577 -0.9515 -10.2568 -0.4137" Properties=species:S:1:pos:R:3 pbc="T T T"
Sr 2.2862 -6.3092 -6.5147
Sr 4.6335 -1.3707 -3.5052
Sr 0.9728 -3.0903 -1.7616
Sr -1.3745 -8.0288 -4.7711
Li -0.9001 -5.9365 -1.5893
Li 1.6843 -3.3005 -5.0234
Li 1.5747 -6.0990 -3.2530
Li 4.1591 -3.4630 -6.6870
Au -0.6675 -4.7720 -4.0374
Au 3.9265 -4.6275 -4.2389
Au 1.8338 -8.6005 -4.3365
Au -1.0005 -0.6398 -2.3091
Au 1.4252 -0.7990 -3.9398
Au 4.2595 -8.7598 -5.9672
```

Computed properties:
As for the total magnetization: 0.000 μB per atom. The space group is Cmcm. As for the formation energy: -629 meV/atom.



A plane-wave DFT calculation with PBE-GGA was carried out for a relaxed structure of EuMgIr4.

Structure (extended XYZ):
```
6
Lattice="-1.5625 -4.5235 -2.3361 2.3510 -4.6053 1.2748 -2.6627 -3.6626 2.8029" Properties=species:S:1:pos:R:3 pbc="T T T"
Eu -0.4685 -3.1978 0.4354
Ir -0.3882 -5.7305 2.2614
Ir 0.1638 -6.1625 -0.3172
Ir -1.1722 -8.0002 1.0892
Ir -2.3518 -5.6895 0.4496
Mg 0.0000 0.0000 0.0000
```

Computed properties:
As for the total magnetization: 1.001 μB per atom. The space group is F-43m. As for the formation energy: -340 meV/atom.



A plane-wave DFT calculation with PBE-GGA was carried out for a relaxed structure of ZnFeAu2.

Structure (extended XYZ):
```
4
Lattice="4.8844 -0.0004 0.0000 1.6359 4.6023 0.0000 -3.2601 -2.3009 2.8168" Properties=species:S:1:pos:R:3 pbc="T T T"
Zn 2.4422 -0.0002 1.4084
Au 0.8179 2.3011 1.4084
Au 0.0000 0.0000 0.0000
Fe 3.2601 2.3009 0.0000
```

Computed properties:
As for the total magnetization: 0.730 μB per atom. The space group is I-4m2. As for the formation energy: 56 meV/atom.



A plane-wave DFT calculation with PBE-GGA was carried out for a relaxed structure of LiIr2Os2.

Structure (extended XYZ):
```
10
Lattice="-1.6622 5.4027 -5.0926 3.4326 -4.0682 -5.4363 -2.3547 -1.2466 -0.5539" Properties=species:S:1:pos:R:3 pbc="T T T"
Ir 0.5395 -0.3456 -8.1999
Ir -1.4307 2.5136 -6.2594
Ir -1.1238 0.4335 -2.8830
Ir 0.8464 -2.4257 -4.8235
Os 0.6733 2.2175 -7.8526
Os 2.3863 -1.5291 -6.7030
Os 1.0971 -0.8830 -2.6764
Os -0.6159 2.8636 -3.8260
Li 0.8852 0.6672 -5.2645
Li 0.0000 0.0000 0.0000
```

Computed properties:
As for the total magnetization: 0.000 μB per atom. The space group is P4/mbm. As for the formation energy: 154 meV/atom.



A plane-wave DFT calculation with PBE-GGA was carried out for a relaxed structure of Tm6TlRu.

Structure (extended XYZ):
```
8
Lattice="-5.0619 -4.0636 -1.9619 -0.6012 -1.7507 -6.5421 1.7623 -6.9343 -1.8165" Properties=species:S:1:pos:R:3 pbc="T T T"
Tm -2.6458 -4.4168 -2.9547
Tm -1.2550 -8.3317 -7.3658
Tm -2.6796 -8.5164 -3.1424
Tm -1.2212 -4.2322 -7.1781
Tm 0.9105 -6.1252 -4.1784
Tm -4.8113 -6.6233 -6.1421
Ru 0.0000 0.0000 0.0000
Tl -1.9504 -6.3743 -5.1603
```

Computed properties:
As for the total magnetization: 0.000 μB per atom. The space group is P-1. As for the formation energy: -5 meV/atom.



A plane-wave DFT calculation with PBE-GGA was carried out for a relaxed structure of Cu6TeS2Cl.

Structure (extended XYZ):
```
20
Lattice="-1.2434 -6.7317 3.5265 5.5167 -5.1369 -1.9921 2.6351 0.2803 7.3327" Properties=species:S:1:pos:R:3 pbc="T T T"
Cu 4.7236 -3.4064 3.0917
Cu 2.0001 -0.7958 5.6338
Cu 3.9522 -6.4909 5.3392
Cu 1.7673 -5.4774 6.7028
Cu 3.2365 -7.0650 8.0791
Cu 2.1848 -8.1820 5.7754
Cu 5.1411 -6.1109 2.1643
Cu 2.9562 -5.0974 3.5279
Cu 4.9083 -10.7926 3.2333
Cu 3.6719 -4.5234 0.7880
Cu 3.3423 -7.8536 1.0419
Cu 3.5661 -3.7347 7.8252
S 1.5030 -6.3201 4.6980
S 4.5414 -8.1785 6.7166
S 5.4054 -5.2682 4.1691
S 2.3670 -3.4099 2.1505
Cl 3.8385 -8.7839 3.0657
Cl 3.0699 -2.8044 5.8014
Te 4.9608 -6.3591 -0.3173
Te 1.9476 -5.2293 9.1844
```

Computed properties:
As for the total magnetization: 0.000 μB per atom. Its formation energy without anion corrections is -0.100 eV/atom. The space group is C2/c.



Values of electronic total energy, in order: -0.4884; -0.3004; -0.6018; -0.2636; -0.4691; -0.3725; -0.2250; -0.6046; -0.2952; -0.6075; -0.3538; -0.2853, all in Ry per atom.